# GGA-PBE Be2TlSn, relaxed
data_Be2TlSn
_chemical_formula_sum 'Be8 Tl4 Sn4'
_cell_length_a 6.7238
_cell_length_b 6.7238
_cell_length_c 6.7238
_cell_angle_alpha 90.00
_cell_angle_beta 90.00
_cell_angle_gamma 90.00
_symmetry_space_group_name_H-M 'F m -3 m'
_symmetry_Int_Tables_number 225
_symmetry_space_group_name_Hall '-F 4 2 3'
loop_
_atom_site_label
_atom_site_type_symbol
_atom_site_fract_x
_atom_site_fract_y
_atom_site_fract_z
Be1 Be 0.2500 0.2500 0.2500
Tl1 Tl 0.0000 0.0000 0.0000
Sn1 Sn 0.0000 0.0000 0.5000
# **ΔE to the lowest computed polymorph**: 166 meV per atom
# **Total magnetization**: 0.00 μB per formula unit
# **Volume**: 19.00 Å³ per atom
# **Energy of formation from the pure elements**: 0.77 eV/atom

---

# GGA-PBE TmBeSn, relaxed
data_TmBeSn
_chemical_formula_sum 'Tm1 Be1 Sn1'
_cell_length_a 4.1543
_cell_length_b 4.1543
_cell_length_c 4.1094
_cell_angle_alpha 90.00
_cell_angle_beta 90.00
_cell_angle_gamma 120.00
_symmetry_space_group_name_H-M 'P -6 m 2'
_symmetry_Int_Tables_number 187
_symmetry_space_group_name_Hall 'P -6 2'
loop_
_atom_site_label
_atom_site_type_symbol
_atom_site_fract_x
_atom_site_fract_y
_atom_site_fract_z
Tm1 Tm 0.0000 0.0000 0.0000
Be1 Be 0.3333 0.6667 0.5000
Sn1 Sn 0.6667 0.3333 0.5000
# **Total magnetization**: 0.00 μB per formula unit
# **Volume**: 20.47 Å³ per atom
# **Energy of formation from the pure elements**: -0.40 eV/atom

---

# GGA-PBE TmBeSn, relaxed
data_TmBeSn
_chemical_formula_sum 'Tm2 Be2 Sn2'
_cell_length_a 4.2702
_cell_length_b 4.2702
_cell_length_c 6.6648
_cell_angle_alpha 90.00
_cell_angle_beta 90.00
_cell_angle_gamma 90.00
_symmetry_space_group_name_H-M 'P 4/n m m'
_symmetry_Int_Tables_number 129
loop_
_symmetry_equiv_pos_as_xyz
'x,y,z'
'-x,-y,-z'
'-y+1/2,x,z'
'y+1/2,-x,-z'
'-x+1/2,-y+1/2,z'
'x+1/2,y+1/2,-z'
'y,-x+1/2,z'
'-y,x+1/2,-z'
'x+1/2,-y,-z'
'-x+1/2,y,z'
'-y,-x,-z'
'y,x,z'
'-x,y+1/2,-z'
'x,-y+1/2,z'
'y+1/2,x+1/2,-z'
'-y+1/2,-x+1/2,z'
loop_
_atom_site_label
_atom_site_type_symbol
_atom_site_fract_x
_atom_site_fract_y
_atom_site_fract_z
Tm1 Tm 0.2500 0.2500 0.1897
Be1 Be 0.2500 0.7500 0.5000
Sn1 Sn 0.2500 0.2500 0.7258
# **Total magnetization**: 0.00 μB per formula unit
# **Volume**: 20.26 Å³ per atom
# **Energy of formation from the pure elements**: -0.27 eV/atom